No. 1
Compound: CrTc2Ir
Source: Alexandria
Functional: meta-GGA SCAN
Structure: single point on PBEsol structure

Structure (POSCAR):
```
CrTc2Ir
1.0
4.427 -1.333 0.000
4.427 1.333 0.000
-0.794 0.000 4.542
Cr Tc Ir
1 2 1
Cartesian
0.000 0.000 0.000
1.611 0.000 3.432
6.450 0.000 1.110
4.030 0.000 2.271
```

- Theoretical density: 13.637 g/cm³
- SG: No. 12
- Formation energy: -4 kJ per mole of atoms
- Energy above the most stable polymorph in this dataset: 15 meV/atom


No. 2
Compound: TeMoOs2
Source: Alexandria
Functional: meta-GGA SCAN
Structure: single point on PBEsol structure

Structure (POSCAR):
```
TeMoOs2
1.0
4.066 0.000 0.000
0.000 1.435 5.491
0.000 -1.435 5.491
Te Mo Os
1 1 2
Cartesian
0.000 0.000 0.000
2.033 0.000 4.217
0.000 0.000 8.359
2.033 0.000 1.660
```

- Theoretical density: 15.657 g/cm³
- SG: No. 38
- ΔE_f (raw): 0.577 eV per atom


No. 3
Compound: Li2TaAs
Source: Alexandria
Functional: meta-GGA SCAN
Structure: single point on PBEsol structure

Structure (POSCAR):
```
Li2TaAs
1.0
3.721 0.000 0.000
0.000 3.721 0.000
0.000 0.000 4.274
Li Ta As
2 1 1
Cartesian
0.000 1.861 0.000
1.861 0.000 0.000
0.000 0.000 2.137
1.861 1.861 2.137
```

- Theoretical density: 7.569 g/cm³
- SG: No. 123
- Formation energy: -8 kJ per mole of atoms


No. 4
Compound: ErSe
Source: Alexandria
Functional: meta-GGA SCAN
Structure: single point on PBEsol structure

Structure (POSCAR):
```
ErSe
1.0
0.000 2.810 2.810
2.810 0.000 2.810
2.810 2.810 0.000
Er Se
1 1
Cartesian
0.000 0.000 0.000
2.810 2.810 2.810
```

- Theoretical density: 9.217 g/cm³
- SG: No. 225
- ΔE_f (raw): -1.877 eV per atom


No. 5
Compound: Sr2BeP
Source: Alexandria
Functional: meta-GGA SCAN
Structure: single point on PBEsol structure

Structure (POSCAR):
```
Sr2BeP
1.0
4.967 0.000 0.000
0.000 4.967 0.000
0.000 0.000 3.969
Sr Be P
2 1 1
Cartesian
0.000 2.484 0.000
2.484 0.000 0.000
0.000 0.000 1.984
2.484 2.484 1.984
```

- Theoretical density: 3.650 g/cm³
- SG: No. 123
- Formation energy: -26 kJ per mole of atoms


No. 6
Compound: BaSr
Source: Alexandria
Functional: meta-GGA SCAN
Structure: single point on PBEsol structure

Structure (POSCAR):
```
BaSr
1.0
7.357 0.000 0.000
0.000 7.014 0.000
0.000 0.000 8.523
Ba Sr
4 4
Cartesian
0.608 1.753 1.049
3.071 5.260 5.310
4.287 1.753 3.213
6.749 5.260 7.474
0.590 1.753 5.328
3.089 5.260 1.066
4.269 1.753 7.457
6.767 5.260 3.195
```

- Theoretical density: 3.397 g/cm³
- SG: No. 62
- Formation energy: 2 kJ per mole of atoms
- Energy above the most stable polymorph in this dataset: 13 meV/atom


no.,M_tot (μB per atom)
1,0.000
2,0.000
3,0.006
4,0.000
5,0.000
6,0.026